No. 1
# TcAsIr2

Crystalline TcAsIr2 at its relaxed geometry (PBE-GGA, Alexandria via LeMat-Bulk).

Space group: R-3m (166)
Calculated formation energy, eV per atom: 0.068

Unit cell a=2.833 b=2.833 c=25.656 alpha=90.00 beta=90.00 gamma=120.00
Sites, in units of the cell vectors:
Tc: 0.000 0.000 0.000
Tc: 0.333 0.667 0.667
Tc: 0.667 0.333 0.333
As: 0.000 0.000 0.500
As: 0.333 0.667 0.167
As: 0.667 0.333 0.833
Ir: 0.000 0.000 0.249
Ir: 0.000 0.000 0.751
Ir: 0.333 0.667 0.418
Ir: 0.333 0.667 0.915
Ir: 0.667 0.333 0.085
Ir: 0.667 0.333 0.582

No. 2
# TcAsIr

Crystalline TcAsIr at its relaxed geometry (PBE-GGA, Alexandria via LeMat-Bulk).

Energy above the lowest structure with this stoichiometry, meV per atom: 61
Space group: C2/m (12)
Calculated formation energy, eV per atom: -0.051

Unit cell a=10.303 b=2.877 c=6.844 alpha=90.00 beta=113.43 gamma=90.00
Sites, in units of the cell vectors:
Tc: 0.136 0.000 0.376
Tc: 0.364 0.500 0.624
Tc: 0.636 0.500 0.376
Tc: 0.864 0.000 0.624
As: 0.159 0.500 0.093
As: 0.341 0.000 0.907
As: 0.659 0.000 0.093
As: 0.841 0.500 0.907
Ir: 0.116 0.500 0.703
Ir: 0.384 0.000 0.297
Ir: 0.616 0.000 0.703
Ir: 0.884 0.500 0.297

No. 3
# Tc2AsIr

Crystalline Tc2AsIr at its relaxed geometry (PBE-GGA, Alexandria via LeMat-Bulk).

Space group: Immm (71)
Calculated formation energy, eV per atom: 0.055

Unit cell a=2.965 b=4.433 c=8.933 alpha=90.00 beta=90.00 gamma=90.00
Sites, in units of the cell vectors:
Tc: 0.000 0.000 0.219
Tc: 0.000 0.000 0.781
Tc: 0.500 0.500 0.281
Tc: 0.500 0.500 0.719
As: 0.000 0.500 0.500
As: 0.500 0.000 0.000
Ir: 0.000 0.500 0.000
Ir: 0.500 0.000 0.500

No. 4
# TcAsIr

Crystalline TcAsIr at its relaxed geometry (PBE-GGA, Alexandria via LeMat-Bulk).

Energy above the lowest structure with this stoichiometry, meV per atom: 62
Space group: P2_1/m (11)
Calculated formation energy, eV per atom: -0.050

Unit cell a=5.548 b=2.961 c=5.979 alpha=90.00 beta=107.72 gamma=90.00
Sites, in units of the cell vectors:
Tc: 0.083 0.250 0.360
Tc: 0.917 0.750 0.640
As: 0.232 0.250 0.929
As: 0.768 0.750 0.071
Ir: 0.436 0.750 0.676
Ir: 0.564 0.250 0.324

No. 5
# TcAsIr2

Crystalline TcAsIr2 at its relaxed geometry (PBE-GGA, Alexandria via LeMat-Bulk).

Space group: I4/mmm (139)
Calculated formation energy, eV per atom: 0.172

Unit cell a=3.887 b=3.887 c=7.832 alpha=90.00 beta=90.00 gamma=90.00
Sites, in units of the cell vectors:
Tc: 0.000 0.000 0.000
Tc: 0.500 0.500 0.500
As: 0.000 0.000 0.500
As: 0.500 0.500 0.000
Ir: 0.000 0.500 0.250
Ir: 0.000 0.500 0.750
Ir: 0.500 0.000 0.250
Ir: 0.500 0.000 0.750

No. 6
# TcAsIr2

Crystalline TcAsIr2 at its relaxed geometry (PBE-GGA, Alexandria via LeMat-Bulk).

Space group: P2/m (10)
Calculated formation energy, eV per atom: 0.075

Unit cell a=2.823 b=4.126 c=5.284 alpha=90.00 beta=104.66 gamma=90.00
Sites, in units of the cell vectors:
Tc: 0.000 0.000 0.000
As: 0.000 0.000 0.500
Ir: 0.373 0.500 0.747
Ir: 0.627 0.500 0.253

No. 7
# TcAsIr2

Crystalline TcAsIr2 at its relaxed geometry (PBE-GGA, Alexandria via LeMat-Bulk).

Space group: Immm (71)
Calculated formation energy, eV per atom: 0.117

Unit cell a=2.913 b=4.440 c=9.127 alpha=90.00 beta=90.00 gamma=90.00
Sites, in units of the cell vectors:
Tc: 0.000 0.000 0.000
Tc: 0.500 0.500 0.500
As: 0.000 0.000 0.500
As: 0.500 0.500 0.000
Ir: 0.000 0.500 0.227
Ir: 0.000 0.500 0.773
Ir: 0.500 0.000 0.273
Ir: 0.500 0.000 0.727

No. 8
# TcAsIr2

Crystalline TcAsIr2 at its relaxed geometry (PBE-GGA, Alexandria via LeMat-Bulk).

Space group: C2/m (12)
Calculated formation energy, eV per atom: 0.066

Unit cell a=9.324 b=2.837 c=4.532 alpha=90.00 beta=92.58 gamma=90.00
Sites, in units of the cell vectors:
Tc: 0.000 0.000 0.000
Tc: 0.500 0.500 0.000
As: 0.000 0.500 0.500
As: 0.500 0.000 0.500
Ir: 0.231 0.500 0.242
Ir: 0.269 0.000 0.758
Ir: 0.731 0.000 0.242
Ir: 0.769 0.500 0.758

No. 9
# Tc2AsIr

Crystalline Tc2AsIr at its relaxed geometry (PBE-GGA, Alexandria via LeMat-Bulk).

Space group: Amm2 (38)
Calculated formation energy, eV per atom: -0.021

Unit cell a=4.018 b=2.829 c=10.389 alpha=90.00 beta=90.00 gamma=90.00
Sites, in units of the cell vectors:
Tc: 0.000 0.000 0.000
Tc: 0.000 0.500 0.500
Tc: 0.500 0.000 0.372
Tc: 0.500 0.500 0.872
As: 0.500 0.000 0.606
As: 0.500 0.500 0.106
Ir: 0.000 0.000 0.744
Ir: 0.000 0.500 0.244

No. 10
# TcAsIr

Crystalline TcAsIr at its relaxed geometry (PBE-GGA, Alexandria via LeMat-Bulk).

Energy above the lowest structure with this stoichiometry, meV per atom: 59
Space group: Pm (6)
Calculated formation energy, eV per atom: -0.053

Unit cell a=4.748 b=2.885 c=6.841 alpha=90.00 beta=90.87 gamma=90.00
Sites, in units of the cell vectors:
Tc: 0.000 0.000 0.000
Tc: 0.463 0.500 0.109
As: 0.393 0.000 0.420
As: 0.894 0.500 0.690
Ir: 0.488 0.000 0.785
Ir: 0.978 0.500 0.325

No. 11
# Tc4AsIr

Crystalline Tc4AsIr at its relaxed geometry (PBE-GGA, Alexandria via LeMat-Bulk).

Space group: F-43m (216)
Calculated formation energy, eV per atom: 0.618

Unit cell a=5.120 b=5.120 c=5.120 alpha=60.00 beta=60.00 gamma=60.00
Sites, in units of the cell vectors:
Tc: 0.124 0.124 0.124
Tc: 0.124 0.124 0.628
Tc: 0.124 0.628 0.124
Tc: 0.628 0.124 0.124
As: 0.500 0.500 0.500
Ir: 0.750 0.750 0.750

No. 12
# TcAsIr2

Crystalline TcAsIr2 at its relaxed geometry (PBE-GGA, Alexandria via LeMat-Bulk).

Space group: P4/mmm (123)
Calculated formation energy, eV per atom: 0.062

Unit cell a=2.829 b=2.829 c=7.516 alpha=90.00 beta=90.00 gamma=90.00
Sites, in units of the cell vectors:
Tc: 0.000 0.000 0.000
As: 0.000 0.000 0.500
Ir: 0.500 0.500 0.244
Ir: 0.500 0.500 0.756

Q: Which value of calculated formation energy does entry 5 give?
A: 0.172 eV per atom